DFT (PBE) results for AcNdSe2Cl after structural relaxation.

Cell: 4.3675 4.3675 14.4637 Å, 90.00 90.00 90.00°
Last column: nearest neighbours and their distance in Å.
Fractional positions:
Ac: 0.5000 0.0000 0.0989  6 Se 3.06-3.31
Ac: 0.0000 0.5000 0.9011  6 Se 3.06-3.31
Nd: 0.5000 0.0000 0.6408  4 Cl 2.99, 5 Se 3.17-3.32
Nd: 0.0000 0.5000 0.3592  4 Cl 2.99, 5 Se 3.17-3.32
Se: 0.0000 0.5000 0.6897  1 Ac 3.06, 4 Nd 3.17
Se: 0.0000 0.5000 0.1298  5 Ac 3.12-3.31, 1 Nd 3.32
Se: 0.5000 0.0000 0.8702  5 Ac 3.12-3.31, 1 Nd 3.32
Se: 0.5000 0.0000 0.3103  1 Ac 3.06, 4 Nd 3.17
Cl: 0.0000 0.0000 0.5000  4 Nd 2.99, 4 Cl 3.09
Cl: 0.5000 0.5000 0.5000  4 Nd 2.99, 4 Cl 3.09

Its space-group type is P4/nmm (129). For the total energy, the calculation gives -27.227 eV per formula unit.

---

DFT (PBE) results for AcNdTeCl after structural relaxation.

Cell: 5.4667 5.4667 5.4667 Å, 60.00 60.00 60.00°
Last column: nearest neighbours and their distance in Å.
Fractional positions:
Ac: 0.0000 0.0000 0.0000  4 Te 3.35, 4 Cl 3.35
Te: 0.2500 0.2500 0.2500  4 Nd 3.35, 4 Ac 3.35
Nd: 0.5000 0.5000 0.5000  4 Cl 3.35, 4 Te 3.35
Cl: 0.7500 0.7500 0.7500  4 Nd 3.35, 4 Ac 3.35

Its space-group type is F-43m (216). For the total energy, the calculation gives -19.010 eV per formula unit.

---

DFT (PBE) results for Ac2NiCl2 after structural relaxation.

Cell: 4.2727 4.2727 10.9476 Å, 78.75 78.75 60.00°
Last column: nearest neighbours and their distance in Å.
Fractional positions:
Ac: 0.6125 0.6125 0.1624  3 Ni 3.01, 3 Cl 3.08
Ac: 0.3875 0.3875 0.8376  3 Ni 3.01, 3 Cl 3.08
Ni: 0.0000 0.0000 0.0000  6 Ac 3.01
Cl: 0.2214 0.2214 0.3359  3 Ac 3.08
Cl: 0.7786 0.7786 0.6641  3 Ac 3.08

Its space-group type is R-3m (166). For the total energy, the calculation gives -24.407 eV per formula unit.

---

DFT (PBE) results for Ac2Ni2Cl after structural relaxation.

Cell: 4.1815 4.1815 8.9656 Å, 90.00 103.48 120.01°
Last column: nearest neighbours and their distance in Å.
Fractional positions:
Ac: 0.8504 0.4251 0.2755  6 Ni 3.09-3.10, 3 Cl 3.39
Ac: 0.1496 0.5749 0.7245  6 Ni 3.09-3.10, 3 Cl 3.39
Ni: 0.3326 0.1663 0.4989  3 Ni 2.41
Ni: 0.6674 0.8337 0.5011  3 Ni 2.41
Cl: 0.0000 0.0000 0.0000  6 Ac 3.39

Its space-group type is R-3m (166). For the total energy, the calculation gives -26.001 eV per formula unit.

---

DFT (PBE) results for Ac8Ni6Cl after structural relaxation.

Cell: 4.6651 10.7389 10.7389 Å, 120.00 90.00 90.00°
Last column: nearest neighbours and their distance in Å.
Fractional positions:
Ac: 0.7437 0.9740 0.3205  4 Ni 2.89-3.05
Ac: 0.7437 0.6795 0.6535  4 Ni 2.89-3.05
Ac: 0.7437 0.3465 0.0260  4 Ni 2.89-3.05
Ac: 0.2563 0.0260 0.6795  4 Ni 2.89-3.05
Ac: 0.2563 0.3205 0.3465  4 Ni 2.89-3.05
Ac: 0.2563 0.6535 0.9740  4 Ni 2.89-3.05
Ac: 0.7484 0.3333 0.6667  6 Ni 2.97-2.98
Ac: 0.2516 0.6667 0.3333  6 Ni 2.97-2.98
Ni: 0.7526 0.6635 0.1597  6 Ac 2.89-3.05, 2 Ni 3.20
Ni: 0.7526 0.8403 0.5039  6 Ac 2.89-3.05, 2 Ni 3.20
Ni: 0.7526 0.4961 0.3365  6 Ac 2.89-3.05, 2 Ni 3.20
Ni: 0.2474 0.3365 0.8403  6 Ac 2.89-3.05, 2 Ni 3.20
Ni: 0.2474 0.1597 0.4961  6 Ac 2.89-3.05, 2 Ni 3.20
Ni: 0.2474 0.5039 0.6635  6 Ac 2.89-3.05, 2 Ni 3.20
Cl: 0.5000 0.0000 0.0000  6 Ac 3.77

Its space-group type is P-3 (147). For the total energy, the calculation gives -74.137 eV per formula unit.

---

DFT (PBE) results for AcNiCl2 after structural relaxation.

Cell: 3.9314 3.9314 8.3920 Å, 76.45 76.45 60.00°
Last column: nearest neighbours and their distance in Å.
Fractional positions:
Ni: 0.5000 0.5000 0.5000  6 Cl 2.55
Ac: 0.0000 0.0000 0.0000  2 Cl 2.87
Cl: 0.1184 0.1184 0.6449  3 Ni 2.55
Cl: 0.8816 0.8816 0.3551  3 Ni 2.55

Its space-group type is R-3m (166). For the total energy, the calculation gives -15.726 eV per formula unit.